# 1
Entry from Alexandria: Tl3GeRu after structural relaxation (GGA-PBE).

Lattice parameters (Å, degrees): 5.3990 5.3990 5.3990 90.00 90.00 90.00
Closest atoms and distances in Å follow each position.
Space group Pm-3m (No. 221)
Unique sites:
Tl (0.0000, 0.0000, 0.5000) x3  2 Ge 2.70
Ge (0.0000, 0.0000, 0.0000) x1  6 Tl 2.70
Ru (0.5000, 0.5000, 0.5000) x1  12 Tl 3.82

Values from the calculation:
magnetization: 2.35 μB/f.u.
D(E_F): 6.83 states/eV/cell
ΔE_f: 116.6 kJ per mole of atoms
energy relative to the lowest polymorph listed for this composition: 3.042 eV/f.u.

# 2
Entry from Alexandria: TlGeRu2 after structural relaxation (GGA-PBE).

Lattice parameters (Å, degrees): 5.7995 5.7995 11.6286 90.00 90.00 90.00
Closest atoms and distances in Å follow each position.
Space group I-42d (No. 122)
Unique sites:
Tl (0.0000, 0.0000, 0.0000) x4  4 Ru 2.69
Ge (0.0000, 0.0000, 0.5000) x4  4 Ru 2.36
Ru (0.2009, 0.2500, 0.6250) x8  2 Ge 2.36

Values from the calculation:
magnetization: 0.84 μB/f.u.
D(E_F): 16.56 states/eV/cell
ΔE_f: 103.0 kJ per mole of atoms
energy relative to the lowest polymorph listed for this composition: 3.080 eV/f.u.